(one)
VASP calculation (PBE-GGA) on crystalline HgPd15 at its relaxed geometry.

Cell: 3.9117 3.9127 43.8759 Å, 90.00 90.00 90.00°
Last column: nearest neighbours and their distance in Å.
Fractional positions:
Pd 0.0000 0.0000 0.6123  12 Pd 2.77-2.78
Pd 0.5000 0.0000 0.2976  12 Pd 2.77-2.79
Pd 0.0000 0.5000 0.5673  12 Pd 2.77-2.78
Pd 0.0000 0.5000 0.3877  12 Pd 2.77-2.78
Pd 0.0000 0.0000 0.4327  12 Pd 2.77-2.78
Pd 0.0000 0.0000 0.2525  12 Pd 2.77-2.81
Pd 0.5000 0.5000 0.5225  12 Pd 2.77-2.78
Pd 0.5000 0.5000 0.1612  4 Hg 2.78, 4 Pd 2.79
Pd 0.5000 0.5000 0.7933  10 Pd 2.77-2.81, 2 Hg 3.00
Hg 0.0000 0.0000 0.1549  8 Pd 2.78-3.00
Pd 0.0000 0.5000 0.2976  12 Pd 2.77-2.79
Pd 0.5000 0.5000 0.6123  12 Pd 2.77-2.78
Pd 0.5000 0.0000 0.5673  12 Pd 2.77-2.78
Pd 0.5000 0.5000 0.4327  12 Pd 2.77-2.78
Pd 0.5000 0.0000 0.3877  12 Pd 2.77-2.78
Pd 0.0000 0.0000 0.3428  12 Pd 2.77-2.79
Pd 0.0000 0.0000 0.5225  12 Pd 2.77-2.78
Pd 0.5000 0.5000 0.2525  12 Pd 2.77-2.80
Pd 0.0000 0.0000 0.7933  10 Pd 2.77-2.80, 2 Hg 3.00
Pd 0.5000 0.5000 0.7024  12 Pd 2.77-2.79
Pd 0.0000 0.5000 0.2067  10 Pd 2.77-2.81, 2 Hg 3.00
Pd 0.5000 0.0000 0.7475  12 Pd 2.77-2.81
Hg 0.5000 0.0000 0.8451  8 Pd 2.78-3.00
Pd 0.5000 0.0000 0.2067  10 Pd 2.77-2.81, 2 Hg 3.00
Pd 0.0000 0.5000 0.6573  12 Pd 2.77-2.78
Pd 0.0000 0.0000 0.7024  12 Pd 2.77-2.79
Pd 0.5000 0.5000 0.3427  12 Pd 2.77-2.78
Pd 0.5000 0.0000 0.4775  12 Pd 2.77-2.78
Pd 0.0000 0.5000 0.7476  12 Pd 2.77-2.80
Pd 0.0000 0.5000 0.8388  4 Hg 2.78, 4 Pd 2.79
Pd 0.5000 0.0000 0.6572  12 Pd 2.77-2.79
Pd 0.0000 0.5000 0.4775  12 Pd 2.77-2.78

ρ in Mg/m³: 8.89


(two)
VASP calculation (PBE-GGA) on crystalline HgPd15 at its relaxed geometry.

Cell: 5.5343 2.7774 43.6223 Å, 90.00 90.00 90.00°
Last column: nearest neighbours and their distance in Å.
Fractional positions:
Pd 0.6250 0.5000 0.4324  12 Pd 2.77-2.78
Pd 0.6262 0.5000 0.7938  10 Pd 2.75-2.80, 2 Hg 2.97
Pd 0.1251 0.5000 0.5226  12 Pd 2.77-2.78
Pd 0.3750 0.0000 0.8392  6 Pd 2.78-2.79, 2 Hg 2.78
Pd 0.6250 0.5000 0.1608  6 Pd 2.78-2.79, 2 Hg 2.78
Pd 0.1248 0.5000 0.6127  12 Pd 2.76-2.78
Pd 0.6250 0.5000 0.3422  12 Pd 2.77-2.78
Pd 0.1250 0.5000 0.4324  12 Pd 2.77-2.78
Pd 0.1250 0.5000 0.2517  12 Pd 2.77-2.79
Pd 0.3751 0.0000 0.4775  12 Pd 2.77-2.78
Pd 0.1239 0.5000 0.7938  10 Pd 2.75-2.80, 2 Hg 2.97
Pd 0.8750 0.0000 0.7483  12 Pd 2.77-2.79
Pd 0.3740 0.0000 0.2062  10 Pd 2.76-2.80, 2 Hg 2.97
Pd 0.8749 0.0000 0.4775  12 Pd 2.77-2.78
Pd 0.1250 0.5000 0.3421  12 Pd 2.77-2.78
Pd 0.6249 0.5000 0.5226  12 Pd 2.77-2.78
Hg 0.1250 0.5000 0.1550  2 Hg 2.78, 6 Pd 2.78-2.97
Pd 0.6250 0.5000 0.2520  12 Pd 2.77-2.80
Hg 0.8750 0.0000 0.8450  2 Hg 2.78, 6 Pd 2.78-2.97
Pd 0.8751 0.0000 0.2971  12 Pd 2.77-2.78
Pd 0.6250 0.5000 0.7029  12 Pd 2.77-2.78
Pd 0.8750 0.0000 0.6579  12 Pd 2.77-2.78
Pd 0.3748 0.0000 0.3873  12 Pd 2.76-2.78
Pd 0.6252 0.5000 0.6127  12 Pd 2.76-2.78
Pd 0.8760 0.0000 0.2062  10 Pd 2.76-2.80, 2 Hg 2.97
Pd 0.3750 0.0000 0.6578  12 Pd 2.77-2.78
Pd 0.8752 0.0000 0.3873  12 Pd 2.76-2.78
Pd 0.1249 0.5000 0.7029  12 Pd 2.77-2.78
Pd 0.3750 0.0000 0.5676  12 Pd 2.77-2.78
Pd 0.3749 0.0000 0.2970  12 Pd 2.77-2.78
Pd 0.3750 0.0000 0.7480  12 Pd 2.77-2.80
Pd 0.8750 0.0000 0.5676  12 Pd 2.77-2.78

ρ in Mg/m³: 8.90


(three)
VASP calculation (PBE-GGA) on crystalline HgPd15 at its relaxed geometry.

Cell: 7.7161 2.7891 34.5439 Å, 90.00 90.01 90.00°
Last column: nearest neighbours and their distance in Å.
Fractional positions:
Pd 0.1251 0.0000 0.2247  12 Pd 2.77-2.82
Pd 0.8750 0.5000 0.7752  12 Pd 2.77-2.82
Pd 0.8752 0.5000 0.1022  12 Pd 2.76-2.83
Pd 0.6227 0.0000 0.8157  12 Pd 2.77-2.88
Pd 0.6222 0.0000 0.7324  9 Pd 2.74-2.88, 2 Hg 2.86
Pd 0.3749 0.5000 0.1021  12 Pd 2.76-2.84
Pd 0.3775 0.5000 0.1843  12 Pd 2.76-2.88
Pd 0.6251 0.0000 0.2257  11 Pd 2.76-2.87, 1 Hg 3.06
Pd 0.3748 0.5000 0.9389  12 Pd 2.77-2.82
Pd 0.1249 0.0000 0.3054  7 Pd 2.73-2.79
Pd 0.3781 0.5000 0.2676  9 Pd 2.73-2.88, 2 Hg 2.86
Pd 0.6249 0.0000 0.1427  12 Pd 2.76-2.87
Pd 0.8751 0.5000 0.6943  7 Pd 2.73-2.79
Pd 0.1245 0.0000 0.9796  12 Pd 2.76-2.83
Pd 0.8751 0.5000 0.9385  12 Pd 2.76-2.83
Pd 0.8755 0.5000 0.0204  12 Pd 2.76-2.83
Pd 0.8719 0.5000 0.2675  9 Pd 2.73-2.88, 2 Hg 2.86
Pd 0.3751 0.5000 0.8573  12 Pd 2.76-2.87
Pd 0.3746 0.5000 0.0204  12 Pd 2.77-2.82
Pd 0.6254 0.0000 0.9796  12 Pd 2.77-2.82
Pd 0.1250 0.0000 0.0615  12 Pd 2.76-2.83
Pd 0.8727 0.5000 0.1843  12 Pd 2.77-2.88
Pd 0.1277 0.0000 0.7324  9 Pd 2.73-2.88, 2 Hg 2.86
Pd 0.3749 0.5000 0.7743  11 Pd 2.77-2.87, 1 Hg 3.06
Pd 0.6251 0.0000 0.8979  12 Pd 2.76-2.84
Pd 0.1252 0.0000 0.1435  12 Pd 2.78-2.83
Hg 0.3751 0.5000 0.6858  2 Hg 2.79, 5 Pd 2.86-3.06
Pd 0.1272 0.0000 0.8157  12 Pd 2.77-2.88
Pd 0.8748 0.5000 0.8565  12 Pd 2.78-2.83
Hg 0.6248 0.0000 0.3143  2 Hg 2.79, 5 Pd 2.86-3.06
Pd 0.6252 0.0000 0.0611  12 Pd 2.77-2.82
Pd 0.1248 0.0000 0.8978  12 Pd 2.76-2.84

ρ in Mg/m³: 8.03


Most stable: (one)


(one)
VASP calculation (PBE-GGA) on crystalline HgPd9 at its relaxed geometry.

Cell: 2.8188 3.8172 39.0859 Å, 90.00 90.00 90.00°
Last column: nearest neighbours and their distance in Å.
Fractional positions:
Hg 0.5000 0.5000 0.8508  2 Hg 2.82, 5 Pd 2.84-3.03
Pd 0.5000 0.5000 0.7003  12 Pd 2.76-2.85
Pd 0.5000 0.5000 0.3359  12 Pd 2.76-2.85
Pd 0.5000 0.5000 0.1895  7 Pd 2.79-2.88, 4 Hg 2.84
Pd 0.0000 0.0000 0.4448  12 Pd 2.77-2.88
Pd 0.5000 0.5000 0.6279  12 Pd 2.76-2.84
Pd 0.5000 0.5000 0.5551  12 Pd 2.77-2.88
Pd 0.0000 0.0000 0.3721  12 Pd 2.76-2.84
Pd 0.0000 0.0000 0.7370  12 Pd 2.76-2.88
Pd 0.0000 0.0000 0.2997  12 Pd 2.76-2.84
Pd 0.0000 0.0000 0.5916  12 Pd 2.76-2.86
Pd 0.0000 0.0000 0.8106  7 Pd 2.79-2.88, 4 Hg 2.84
Pd 0.0000 0.0000 0.5183  12 Pd 2.77-2.88
Pd 0.0000 0.0000 0.2269  11 Pd 2.76-2.84, 1 Hg 3.03
Pd 0.5000 0.5000 0.4083  12 Pd 2.76-2.86
Pd 0.5000 0.5000 0.4816  12 Pd 2.77-2.88
Pd 0.5000 0.5000 0.2630  12 Pd 2.76-2.88
Hg 0.0000 0.0000 0.1493  2 Hg 2.82, 5 Pd 2.84-3.03
Pd 0.0000 0.0000 0.6641  12 Pd 2.76-2.85
Pd 0.5000 0.5000 0.7731  11 Pd 2.76-2.85, 1 Hg 3.03

ρ in Mg/m³: 9.15


(two)
VASP calculation (PBE-GGA) on crystalline HgPd9 at its relaxed geometry.

Cell: 2.8344 2.8344 50.0503 Å, 90.00 90.00 90.00°
Last column: nearest neighbours and their distance in Å.
Fractional positions:
Pd 0.5000 0.0000 0.4814  12 Pd 2.74-2.83
Pd 0.5000 0.0000 0.4068  12 Pd 2.74-2.83
Pd 0.5000 0.0000 0.1804  8 Pd 2.79-2.83, 4 Hg 2.92
Pd 0.0000 0.5000 0.3694  12 Pd 2.74-2.83
Pd 0.5000 0.0000 0.6306  12 Pd 2.74-2.83
Pd 0.0000 0.5000 0.6680  12 Pd 2.74-2.83
Pd 0.5000 0.0000 0.5559  12 Pd 2.74-2.83
Pd 0.5000 0.0000 0.7807  12 Pd 2.76-2.83
Pd 0.5000 0.0000 0.2572  12 Pd 2.75-2.83
Pd 0.0000 0.5000 0.2947  12 Pd 2.74-2.83
Pd 0.5000 0.0000 0.3320  12 Pd 2.74-2.83
Hg 0.0000 0.5000 0.1379  4 Hg 2.83, 4 Pd 2.92
Pd 0.0000 0.5000 0.5932  12 Pd 2.74-2.83
Hg 0.5000 0.0000 0.8621  4 Hg 2.83, 4 Pd 2.92
Pd 0.0000 0.5000 0.5186  12 Pd 2.74-2.83
Pd 0.0000 0.5000 0.4441  12 Pd 2.74-2.83
Pd 0.0000 0.5000 0.2193  12 Pd 2.76-2.83
Pd 0.0000 0.5000 0.7428  12 Pd 2.75-2.83
Pd 0.5000 0.0000 0.7053  12 Pd 2.74-2.83
Pd 0.0000 0.5000 0.8196  8 Pd 2.79-2.83, 4 Hg 2.92

ρ in Mg/m³: 9.57


Most stable: (one)


(one)
VASP calculation (PBE-GGA) on crystalline RbHgPd at its relaxed geometry.

Cell: 5.4514 5.4514 5.4514 Å, 60.00 60.00 60.00°
Last column: nearest neighbours and their distance in Å.
Fractional positions:
Pd 0.7500 0.7500 0.7500  4 Rb 3.34
Rb 0.0000 0.0000 0.0000  4 Pd 3.34, 4 Hg 3.34
Hg 0.2500 0.2500 0.2500  4 Rb 3.34

ρ in Mg/m³: 5.69


(two)
VASP calculation (PBE-GGA) on crystalline RbHgPd at its relaxed geometry.

Cell: 5.1024 5.1024 5.1024 Å, 60.00 60.00 60.00°
Last column: nearest neighbours and their distance in Å.
Fractional positions:
Hg 0.2500 0.2500 0.2500  4 Pd 3.12
Pd 0.0000 0.0000 0.0000  4 Hg 3.12, 4 Rb 3.12
Rb 0.7500 0.7500 0.7500  4 Pd 3.12

ρ in Mg/m³: 6.94


Most stable: (two)


(one)
VASP calculation (PBE-GGA) on crystalline SmHgPd at its relaxed geometry.

Cell: 5.0849 5.0849 6.1193 Å, 90.00 90.00 120.00°
Last column: nearest neighbours and their distance in Å.
Fractional positions:
Pd 0.0000 0.0000 0.0000  2 Pd 3.06, 6 Hg 3.31, 6 Sm 3.31
Sm 0.3333 0.6667 0.7500  5 Hg 2.94-3.06
Hg 0.6667 0.3333 0.7500  5 Sm 2.94-3.06
Pd 0.0000 0.0000 0.5000  2 Pd 3.06, 6 Sm 3.31, 6 Hg 3.31
Hg 0.3333 0.6667 0.2500  5 Sm 2.94-3.06
Sm 0.6667 0.3333 0.2500  5 Hg 2.94-3.06

ρ in Mg/m³: 11.09
Magnetization in μB per atom: 0.0022


(two)
VASP calculation (PBE-GGA) on crystalline SmHgPd at its relaxed geometry.

Cell: 4.7513 4.7513 7.0603 Å, 90.00 90.00 120.00°
Last column: nearest neighbours and their distance in Å.
Fractional positions:
Pd 0.6667 0.3333 0.5085  3 Hg 2.75
Hg 0.3333 0.6667 0.4938  3 Pd 2.75
Pd 0.3333 0.6667 0.0085  3 Hg 2.75
Sm 0.0000 0.0000 0.2477  6 Pd 3.22-3.30, 6 Hg 3.25-3.28, 2 Sm 3.53
Hg 0.6667 0.3333 0.9938  3 Pd 2.75
Sm 0.0000 0.0000 0.7477  6 Pd 3.22-3.30, 6 Hg 3.25-3.28, 2 Sm 3.53

ρ in Mg/m³: 11.00
Magnetization in μB per atom: 0.0004


Most stable: (two)


(one)
VASP calculation (PBE-GGA) on crystalline PmPrHg at its relaxed geometry.

Cell: 5.2489 5.2489 5.2489 Å, 60.00 60.00 60.00°
Last column: nearest neighbours and their distance in Å.
Fractional positions:
Hg 0.0000 0.0000 0.0000  4 Pm 3.21, 4 Pr 3.21
Pr 0.7500 0.7500 0.7500  4 Hg 3.21
Pm 0.2500 0.2500 0.2500  4 Hg 3.21

ρ in Mg/m³: 7.90
Magnetization in μB per atom: 0.1580


(two)
VASP calculation (PBE-GGA) on crystalline PmPrHg at its relaxed geometry.

Cell: 7.3068 5.2359 9.5918 Å, 90.00 90.00 90.00°
Last column: nearest neighbours and their distance in Å.
Fractional positions:
Hg 0.2596 0.7500 0.8975  4 Pm 3.13-3.20, 3 Pr 3.27-3.32
Pm 0.6678 0.2500 0.4239  4 Hg 3.13-3.20
Pr 0.9856 0.7500 0.3081  3 Hg 3.27-3.32, 1 Pm 3.61
Hg 0.7404 0.2500 0.1025  4 Pm 3.13-3.20, 3 Pr 3.27-3.32
Pm 0.8322 0.7500 0.9239  4 Hg 3.13-3.20
Pm 0.1678 0.2500 0.0761  4 Hg 3.13-3.20
Pr 0.0144 0.2500 0.6919  3 Hg 3.27-3.32, 1 Pm 3.61
Pr 0.4856 0.7500 0.1919  3 Hg 3.27-3.32, 1 Pm 3.61
Pm 0.3322 0.7500 0.5761  4 Hg 3.13-3.20
Pr 0.5144 0.2500 0.8081  3 Hg 3.27-3.32, 1 Pm 3.61
Hg 0.7596 0.7500 0.6025  4 Pm 3.13-3.20, 3 Pr 3.27-3.32
Hg 0.2404 0.2500 0.3975  4 Pm 3.13-3.20, 3 Pr 3.27-3.32

ρ in Mg/m³: 8.81
Magnetization in μB per atom: 0.0018


Most stable: (two)


(one)
VASP calculation (PBE-GGA) on crystalline PmTlHg at its relaxed geometry.

Cell: 5.3100 5.3100 6.5807 Å, 90.00 90.00 119.99°
Last column: nearest neighbours and their distance in Å.
Fractional positions:
Pm 0.8334 0.1666 0.7500  5 Hg 3.07-3.29
Hg 0.1668 0.8332 0.7500  5 Pm 3.07-3.29
Pm 0.1666 0.8334 0.2500  5 Hg 3.07-3.29
Tl 0.5000 0.5000 0.0000  2 Tl 3.29, 6 Hg 3.48, 6 Pm 3.48
Tl 0.5000 0.5000 0.5000  2 Tl 3.29, 6 Hg 3.48, 6 Pm 3.48
Hg 0.8332 0.1668 0.2500  5 Pm 3.07-3.29

ρ in Mg/m³: 11.37
Magnetization in μB per atom: 0.0007


(two)
VASP calculation (PBE-GGA) on crystalline PmTlHg at its relaxed geometry.

Cell: 5.0073 5.0073 5.0073 Å, 60.00 60.00 60.00°
Last column: nearest neighbours and their distance in Å.
Fractional positions:
Tl 0.0000 0.0000 0.0000  4 Hg 3.07, 4 Pm 3.07
Hg 0.2500 0.2500 0.2500  4 Tl 3.07
Pm 0.7500 0.7500 0.7500  4 Tl 3.07

ρ in Mg/m³: 10.29
Magnetization in μB per atom: 0.0000


Most stable: (one)


(one)
VASP calculation (PBE-GGA) on crystalline PrTlHgSe3 at its relaxed geometry.

Cell: 8.4977 4.4996 17.5998 Å, 90.00 90.00 90.00°
Last column: nearest neighbours and their distance in Å.
Fractional positions:
Pr 0.2250 0.7500 0.9598  7 Se 2.95-3.27
Tl 0.4282 0.2500 0.6962  6 Se 3.31-3.36, 2 Hg 3.59
Hg 0.9347 0.2500 0.3405  3 Se 2.66-2.75
Se 0.3727 0.7500 0.5574  3 Pr 2.95-3.01, 1 Hg 3.17
Se 0.7203 0.7500 0.7094  1 Hg 2.66
Pr 0.7750 0.2500 0.0402  7 Se 2.95-3.27
Pr 0.7250 0.7500 0.5402  7 Se 2.95-3.27
Hg 0.5653 0.7500 0.8405  3 Se 2.66-2.75
Se 0.1273 0.2500 0.0574  3 Pr 2.95-3.01, 1 Hg 3.17
Hg 0.0653 0.7500 0.6595  3 Se 2.66-2.75
Se 0.5057 0.7500 0.0766  2 Hg 2.75
Se 0.9943 0.2500 0.5766  2 Hg 2.75
Se 0.2797 0.2500 0.2906  1 Hg 2.66
Tl 0.0718 0.7500 0.1962  6 Se 3.31-3.36, 2 Hg 3.59
Tl 0.5718 0.7500 0.3038  6 Se 3.31-3.36, 2 Hg 3.59
Pr 0.2750 0.2500 0.4598  7 Se 2.95-3.27
Se 0.4943 0.2500 0.9234  2 Hg 2.75
Tl 0.9282 0.2500 0.8038  6 Se 3.31-3.36, 2 Hg 3.59
Se 0.8727 0.7500 0.9426  3 Pr 2.95-3.01, 1 Hg 3.17
Hg 0.4347 0.2500 0.1595  3 Se 2.66-2.75
Se 0.7797 0.2500 0.2094  1 Hg 2.66
Se 0.6273 0.2500 0.4426  3 Pr 2.95-3.01, 1 Hg 3.17
Se 0.0057 0.7500 0.4234  2 Hg 2.75
Se 0.2203 0.7500 0.7906  1 Hg 2.66

ρ in Mg/m³: 7.73
Magnetization in μB per atom: 0.0005


(two)
VASP calculation (PBE-GGA) on crystalline PrTlHgSe3 at its relaxed geometry.

Cell: 12.0109 4.4812 12.7935 Å, 90.00 90.00 90.00°
Last column: nearest neighbours and their distance in Å.
Fractional positions:
Se 0.5322 0.2500 0.6567  1 Hg 2.66
Hg 0.7488 0.2500 0.6997  4 Se 2.65-2.75
Se 0.7229 0.2500 0.3209  2 Hg 2.75, 1 Pr 3.03
Hg 0.2512 0.7500 0.3003  4 Se 2.65-2.75
Hg 0.7512 0.7500 0.1997  4 Se 2.65-2.75
Pr 0.5248 0.7500 0.8176  6 Se 3.03-3.21
Hg 0.2488 0.2500 0.8003  4 Se 2.65-2.75
Se 0.5861 0.7500 0.0621  1 Hg 2.65
Se 0.4139 0.2500 0.9379  1 Hg 2.65
Pr 0.0248 0.7500 0.6824  6 Se 3.03-3.21
Pr 0.9752 0.2500 0.3176  6 Se 3.03-3.21
Tl 0.1729 0.7500 0.9987  5 Se 3.19-3.44, 2 Hg 3.51
Se 0.4678 0.7500 0.3433  1 Hg 2.66
Se 0.2771 0.7500 0.6791  2 Hg 2.75, 1 Pr 3.03
Tl 0.6729 0.7500 0.5013  5 Se 3.19-3.44, 2 Hg 3.51
Tl 0.3271 0.2500 0.4987  5 Se 3.19-3.44, 2 Hg 3.51
Se 0.7771 0.7500 0.8209  2 Hg 2.75, 1 Pr 3.03
Se 0.0861 0.7500 0.4379  1 Hg 2.65
Se 0.2229 0.2500 0.1791  2 Hg 2.75, 1 Pr 3.03
Se 0.9678 0.7500 0.1567  1 Hg 2.66
Se 0.9139 0.2500 0.5621  1 Hg 2.65
Se 0.0322 0.2500 0.8433  1 Hg 2.66
Pr 0.4752 0.2500 0.1824  6 Se 3.03-3.21
Tl 0.8271 0.2500 0.0013  5 Se 3.19-3.44, 2 Hg 3.51

ρ in Mg/m³: 7.55
Magnetization in μB per atom: 0.0004


Most stable: (two)